Material: AsCl2
Method: DFT, PBE-GGA
State: relaxed

Cell: 7.6239 7.6239 7.6805 Å, 69.13 69.13 27.33°
With the nearest neighbours (Å) after each atom.
Element x y z (fractional)
1 As 0.4746 0.4746 0.6942  4 Cl 2.52-2.53, 1 As 2.80
2 As 0.5254 0.5254 0.3058  4 Cl 2.52-2.53, 1 As 2.80
3 Cl 0.0938 0.0938 0.6965  2 As 2.53
4 Cl 0.8478 0.8478 0.7547  2 As 2.52
5 Cl 0.1522 0.1522 0.2453  2 As 2.52
6 Cl 0.9062 0.9062 0.3035  2 As 2.53

Results
**Fermi-level density of states**: 0.00 states/eV/cell
**Mass density**: 2.54 Mg/m³
**Polymorph energy (0 for the lowest one)**: 0.000 eV per formula unit
**Space-group type**: C2/m
**Raw total energy**: -19.5 eV for the cell shown
**E_form (uncorrected)**: -1.4 eV/f.u.